VASP calculation (PBE) on MoRh after structural relaxation.

Calculated values
The volume comes out at 14.88 Å³/atom. Its mass density is 11.09 g cm⁻³. The calculation puts the magnetic moment at 0.0 Bohr magnetons per cell. The value obtained for the formation energy from the elements is -137 meV per atom. Its density of states at the Fermi level is 0.90 states/eV per atom.

Lattice parameters (Å, degrees): 4.8254 4.4150 5.5891 90.00 90.00 90.00
Closest atoms and distances in Å follow each position.
Space group Pnma (No. 62)
Unique sites:
Mo 0.0892 0.2500 0.1222 [4 per cell]  8 Rh 2.72-2.80, 4 Mo 2.73-2.80
Rh 0.0829 0.2500 0.6240 [4 per cell]  8 Mo 2.72-2.80, 4 Rh 2.73-2.79

---

VASP calculation (PBE) on Mo5Rh3 after structural relaxation.

Calculated values
The volume comes out at 15.51 Å³/atom. Its mass density is 10.55 g cm⁻³. The calculation puts the magnetic moment at 0.0 Bohr magnetons per cell. The value obtained for the formation energy from the elements is 47 meV per atom. Its density of states at the Fermi level is 0.94 states/eV per atom.

Lattice parameters (Å, degrees): 4.9707 7.1648 7.4657 88.87 74.87 75.41
Closest atoms and distances in Å follow each position.
Space group P-1 (No. 2)
Unique sites:
Mo 0.0173 0.1855 0.1775 [2 per cell]  4 Mo 2.59-2.88, 4 Rh 2.63-2.87
Mo 0.1935 0.7965 0.1429 [2 per cell]  6 Rh 2.61-2.82, 3 Mo 2.70-2.93
Mo 0.2507 0.9996 0.5039 [2 per cell]  2 Mo 2.47-2.51, 1 Rh 2.74
Mo 0.3022 0.3519 0.6754 [2 per cell]  5 Rh 2.54-2.79, 1 Mo 2.75
Mo 0.4639 0.3264 0.2940 [2 per cell]  3 Mo 2.59-2.87, 3 Rh 2.62-2.66
Rh 0.1253 0.6455 0.4858 [2 per cell]  9 Mo 2.61-2.92, 1 Rh 2.66
Rh 0.2649 0.4480 0.0089 [2 per cell]  5 Mo 2.54-2.78, 2 Rh 2.59-2.60
Rh 0.3824 0.0303 0.8591 [2 per cell]  1 Rh 2.64, 10 Mo 2.65-2.94

---

VASP calculation (PBE) on MoRh after structural relaxation.

Calculated values
The volume comes out at 14.92 Å³/atom. Its mass density is 11.07 g cm⁻³. The calculation puts the magnetic moment at 0.0 Bohr magnetons per cell. The value obtained for the formation energy from the elements is -139 meV per atom. Its density of states at the Fermi level is 0.84 states/eV per atom.

Lattice parameters (Å, degrees): 10.2149 2.7532 6.5596 90.00 104.01 90.00
Closest atoms and distances in Å follow each position.
Space group Cm (No. 8)
Unique sites:
Mo 0.0000 0.0000 0.0000 [2 per cell]  7 Rh 2.70-2.77, 5 Mo 2.74-2.86
Mo 0.0642 0.0000 0.6184 [2 per cell]  5 Mo 2.74-2.84, 7 Rh 2.74-2.77
Mo 0.1840 0.5000 0.3308 [2 per cell]  6 Rh 2.66-2.82, 6 Mo 2.75-2.86
Rh 0.2251 0.5000 0.9462 [2 per cell]  6 Mo 2.66-2.77, 6 Rh 2.75-2.86
Rh 0.3412 0.0000 0.6704 [2 per cell]  7 Mo 2.74-2.78, 5 Rh 2.75-2.76
Rh 0.4025 0.0000 0.2845 [2 per cell]  7 Mo 2.70-2.82, 5 Rh 2.75-2.86